# 1
# Ca2Mg (PBE, optimized geometry)
data_Ca2Mg
_chemical_formula_sum 'Ca2 Mg1'
_space_group_name_H-M_alt 'P -3 m 1'
_space_group_IT_number 164
_space_group_name_Hall '-P 3 2"'
_cell_length_a 5.7737
_cell_length_b 5.7737
_cell_length_c 3.6400
_cell_angle_alpha 90.00
_cell_angle_beta 90.00
_cell_angle_gamma 120.00
loop_
_atom_site_label
_atom_site_fract_x
_atom_site_fract_y
_atom_site_fract_z
_atom_site_occupancy
Ca1 0.3333 0.6667 0.2007 1
Mg1 0.0000 0.0000 0.5000 1
# M_tot in Bohr magnetons per cell: 0.0
# Formation energy from the elements in meV/atom: 24

***

# 2
# La3Dy8Ho2 (PBE, optimized geometry)
data_La3Dy8Ho2
_chemical_formula_sum 'La6 Dy16 Ho4'
_space_group_name_H-M_alt 'C 1 2/m 1'
_space_group_IT_number 12
_space_group_name_Hall '-C 2y'
_cell_length_a 20.1633
_cell_length_b 7.7525
_cell_length_c 5.6604
_cell_angle_alpha 90.00
_cell_angle_beta 90.07
_cell_angle_gamma 90.00
loop_
_atom_site_label
_atom_site_fract_x
_atom_site_fract_y
_atom_site_fract_z
_atom_site_occupancy
La1 0.0000 0.0000 0.0000 1
La2 0.0000 0.2987 0.5000 1
Dy1 0.1101 0.2921 0.0004 1
Dy2 0.1372 0.0000 0.4992 1
Dy3 0.1740 0.5000 0.5016 1
Ho1 0.2410 0.0000 0.9981 1
# M_tot in Bohr magnetons per cell: 0.0
# Formation energy from the elements in meV/atom: 248

***

# 3
# KSi2P (PBE, optimized geometry)
data_KSi2P
_chemical_formula_sum 'K2 Si4 P2'
_space_group_name_H-M_alt 'C 1 2/m 1'
_space_group_IT_number 12
_space_group_name_Hall '-C 2y'
_cell_length_a 8.1563
_cell_length_b 3.4362
_cell_length_c 6.6725
_cell_angle_alpha 90.00
_cell_angle_beta 101.52
_cell_angle_gamma 90.00
loop_
_atom_site_label
_atom_site_fract_x
_atom_site_fract_y
_atom_site_fract_z
_atom_site_occupancy
K1 0.0000 0.0000 0.0000 1
Si1 0.2247 0.0000 0.6292 1
P1 0.0000 0.5000 0.5000 1
# Raw formation energy in eV per atom: 0.170
# M_tot in Bohr magnetons per cell: 0.0

***

# 4
# Cr2NiAu (PBE, optimized geometry)
data_Cr2NiAu
_chemical_formula_sum 'Cr2 Ni1 Au1'
_space_group_name_H-M_alt 'P 4 m m'
_space_group_IT_number 99
_space_group_name_Hall 'P 4 -2'
_cell_length_a 2.7116
_cell_length_b 2.7116
_cell_length_c 7.3492
_cell_angle_alpha 90.00
_cell_angle_beta 90.00
_cell_angle_gamma 90.00
loop_
_atom_site_label
_atom_site_fract_x
_atom_site_fract_y
_atom_site_fract_z
_atom_site_occupancy
Cr1 0.0000 0.0000 0.0000 1
Cr2 0.5000 0.5000 0.2280 1
Ni1 0.0000 0.0000 0.4402 1
Au1 0.5000 0.5000 0.7134 1
# M_tot in Bohr magnetons per cell: 2.6
# Formation energy from the elements in meV/atom: 247

***

Number 1: E_tot -1.84 eV per atom. Number 2: E_tot -4.43 eV per atom. Number 3: E_tot -4.17 eV per atom. Number 4: E_tot -6.83 eV per atom.